# BiAu3Cl

An optimized crystal structure of BiAu3Cl (PBE, Alexandria).

The space group is Pm-3m (No. 221) and the conventional cell measures 5.0078, 5.0078 and 5.0078 Å, with angles of 90.00, 90.00 and 90.00 degrees. The asymmetric unit holds Bi at (0.0000, 0.0000, 0.0000), Au at (0.0000, 0.5000, 0.5000) and Cl at (0.5000, 0.5000, 0.5000).

As for the energy above the most stable polymorph in this dataset: 187 meV per atom.

***

# CaLa3Ru

An optimized crystal structure of CaLa3Ru (PBE, Alexandria).

The space group is Fd-3m (No. 227, origin choice 2) and the conventional cell measures 15.0436, 15.0436 and 15.0436 Å, with angles of 90.00, 90.00 and 90.00 degrees. The asymmetric unit holds Ca at (0.0000, 0.0000, 0.0000), La at (0.0625, 0.3750, 0.8750) and Ru at (0.0000, 0.0000, 0.5000).

As for the energy above the most stable polymorph in this dataset: 240 meV per atom. The formation energy from the elements comes out at 7 kJ per mole of atoms.

***

# CuSeS

An optimized crystal structure of CuSeS (PBE, Alexandria).

The space group is R3m (No. 160, hexagonal axes) and the conventional cell measures 3.7804, 3.7804 and 14.0393 Å, with angles of 90.00, 90.00 and 120.00 degrees. The asymmetric unit holds Cu at (0.0000, 0.0000, 0.0000), Se at (0.0000, 0.0000, 0.5670) and S at (0.0000, 0.0000, 0.4089).

As for the energy above the most stable polymorph in this dataset: 2 meV per atom.

***

# Li2SbBr6

An optimized crystal structure of Li2SbBr6 (PBE, Alexandria).

The space group is P4_2/mnm (No. 136) and the conventional cell measures 6.5236, 6.5236 and 12.1773 Å, with angles of 90.00, 90.00 and 90.00 degrees. The asymmetric unit holds Li at (0.0000, 0.0000, 0.1696), Sb at (0.0000, 0.0000, 0.5000), Br at (0.1964, 0.1964, 0.3329) and Br at (0.2007, 0.2007, 0.0000).

As for the energy above the most stable polymorph in this dataset: 25 meV per atom.

***

# DyScRu2

An optimized crystal structure of DyScRu2 (PBE, Alexandria).

The space group is P4/mmm (No. 123) and the conventional cell measures 3.3027, 3.3027 and 6.6229 Å, with angles of 90.00, 90.00 and 90.00 degrees. The asymmetric unit holds Dy at (0.0000, 0.0000, 0.0000), Sc at (0.0000, 0.0000, 0.5000) and Ru at (0.5000, 0.5000, 0.2637).

The formation energy from the elements comes out at -40 kJ per mole of atoms.

***

# SrGa2Ni

An optimized crystal structure of SrGa2Ni (PBE, Alexandria).

The space group is I4_1/amd (No. 141, origin choice 2) and the conventional cell measures 5.1119, 5.1119 and 15.4861 Å, with angles of 90.00, 90.00 and 90.00 degrees. The asymmetric unit holds Sr at (0.0000, 0.2500, 0.3750), Ga at (0.0000, 0.0000, 0.0000) and Ni at (0.0000, 0.2500, 0.8750).

The formation energy from the elements comes out at -24 kJ per mole of atoms.

***

# NaAc3Mo2N6

An optimized crystal structure of NaAc3Mo2N6 (PBE, Alexandria).

The space group is P-3m1 (No. 164) and the conventional cell measures 6.0906, 6.0906 and 7.0129 Å, with angles of 90.00, 90.00 and 120.00 degrees. The asymmetric unit holds Na at (0.0000, 0.0000, 0.0000), Ac at (0.0000, 0.0000, 0.5000), Ac at (0.3333, 0.6667, 0.1719), Mo at (0.3333, 0.6667, 0.6973) and N at (0.1691, 0.3382, 0.7799).

The calculation puts the total energy at -93.6 eV/f.u.

***

# K3Ac3NbSe8

An optimized crystal structure of K3Ac3NbSe8 (PBE, Alexandria).

The space group is R-3m (No. 166, hexagonal axes) and the conventional cell measures 8.8163, 8.8163 and 23.5499 Å, with angles of 90.00, 90.00 and 120.00 degrees. The asymmetric unit holds K at (0.0000, 0.5000, 0.0000), Ac at (0.0000, 0.5000, 0.5000), Nb at (0.0000, 0.0000, 0.5000), Se at (0.0000, 0.0000, 0.2411) and Se at (0.0412, 0.5206, 0.2321).

The calculation puts the total energy at -76.5 eV/f.u.

***

# AgSe2NF

An optimized crystal structure of AgSe2NF (PBE, Alexandria).

The space group is P4/mmm (No. 123) and the conventional cell measures 4.4717, 4.4717 and 4.8040 Å, with angles of 90.00, 90.00 and 90.00 degrees. The asymmetric unit holds Ag at (0.0000, 0.0000, 0.0000), Se at (0.0000, 0.5000, 0.5000), N at (0.5000, 0.5000, 0.0000) and F at (0.5000, 0.5000, 0.5000).

As for the energy above the most stable polymorph in this dataset: 0 meV per atom.

***

# CdFeAu2

An optimized crystal structure of CdFeAu2 (PBE, Alexandria).

The space group is Cm (No. 8) and the conventional cell measures 9.6817, 2.9422 and 4.9894 Å, with angles of 90.00, 102.25 and 90.00 degrees. The asymmetric unit holds Cd at (0.0000, 0.0000, 0.0000), Fe at (0.2536, 0.0000, 0.7192), Au at (0.0160, 0.5000, 0.5184) and Au at (0.2573, 0.5000, 0.2320).

The formation energy from the elements comes out at 11 kJ per mole of atoms.

***

# BaCaPt2

An optimized crystal structure of BaCaPt2 (PBE, Alexandria).

The space group is F-43m (No. 216) and the conventional cell measures 7.1970, 7.1970 and 7.1970 Å, with angles of 90.00, 90.00 and 90.00 degrees. The asymmetric unit holds Ba at (0.0000, 0.0000, 0.0000), Ca at (0.2500, 0.2500, 0.7500), Pt at (0.0000, 0.0000, 0.5000) and Pt at (0.2500, 0.2500, 0.2500).

As for the energy above the most stable polymorph in this dataset: 370 meV per atom. The formation energy from the elements comes out at -37 kJ per mole of atoms.

***

# Al2VRh2

An optimized crystal structure of Al2VRh2 (PBE, Alexandria).

The space group is P4/mbm (No. 127) and the conventional cell measures 7.1610, 7.1610 and 2.8533 Å, with angles of 90.00, 90.00 and 90.00 degrees. The asymmetric unit holds Al at (0.1524, 0.3476, 0.0000), V at (0.0000, 0.0000, 0.5000) and Rh at (0.1453, 0.6453, 0.5000).

As for the energy above the most stable polymorph in this dataset: 63 meV per atom. The formation energy from the elements comes out at -52 kJ per mole of atoms.